[1]
20
Lattice="5.1287 2.9611 2.9529 -5.1287 2.9611 2.9529 0.0000 -5.9222 2.9529" Properties=species:S:1:pos:R:3 comment="SrCa3C4O12 (PBE, relaxed)" e_form_raw_ev_per_atom=-2.261 n_ef_per_ev_cell=0.00 crystal_system=trigonal spacegroup="R32 (155)" pbc="T T T"
Sr 0.0000 0.0000 0.0000
Ca -2.7273 -1.1984 2.9529
Ca -2.7273 1.1984 5.9057
Ca 0.3258 2.9611 2.9529
C -2.3947 -4.1478 4.4293
C 0.0000 0.0000 4.4293
C -2.3947 4.1478 4.4293
C 4.7895 0.0000 4.4293
O -3.0536 -3.0323 4.3632
O -4.1654 0.0000 4.4293
O -1.0992 -4.1606 4.4954
O -1.2972 0.0000 4.4293
O -3.0536 3.0323 4.4954
O 2.0827 -3.6073 4.4293
O 0.6486 -1.1234 4.4293
O -1.0993 4.1606 4.3632
O 0.6486 1.1234 4.4293
O 4.1529 -1.1283 4.3632
O 2.0827 3.6073 4.4293
O 4.1529 1.1283 4.4954

[2]
20
Lattice="4.2211 -4.9433 0.0000 4.2211 4.9433 0.0000 -2.2628 0.0000 6.2362" Properties=species:S:1:pos:R:3 comment="SrCaC2O6 (PBE, relaxed)" e_form_raw_ev_per_atom=-2.255 n_ef_per_ev_cell=0.00 crystal_system=monoclinic spacegroup="C2/c (15)" pbc="T T T"
Sr 2.5240 3.4717 4.6771
Sr 3.6554 -3.4717 1.5590
Ca 3.6554 0.9627 1.5590
Ca 2.5240 -0.9627 4.6771
C 0.4551 1.1693 4.4984
C 1.5865 -1.1693 1.3803
C 4.5930 1.1693 4.8559
C 5.7243 -1.1693 1.7378
O 2.0772 2.6760 2.1089
O 0.2240 0.0590 3.8657
O 1.3554 -0.0590 0.7476
O 1.3479 1.1820 5.4465
O 5.2336 2.6760 1.0092
O 3.7002 1.1820 3.9078
O 2.4792 -1.1820 2.3284
O 0.9458 -2.6760 5.2270
O 4.8316 -1.1820 0.7897
O 4.8240 0.0590 5.4886
O 5.9554 -0.0590 2.3705
O 4.1022 -2.6760 4.1273

[3]
16
Lattice="-2.4477 9.2233 2.4150 2.4477 -9.2233 2.4150 2.4477 9.2233 -2.4150" Properties=species:S:1:pos:R:3 comment="Ca4Tl2CO9 (PBE, relaxed)" e_form_raw_ev_per_atom=-2.020 crystal_system=orthorhombic spacegroup="Imm2 (44)" pbc="T T T"
Ca 0.0000 1.9955 0.0000
Ca 0.0000 7.2032 0.0790
Ca 0.0000 11.2435 0.0790
Ca 0.0000 16.4512 0.0000
Tl 2.4477 4.6803 0.0191
Tl 0.0000 4.5431 2.4341
C 2.4477 0.0000 0.0196
O 2.4477 2.5404 0.0411
O 0.0000 4.6096 0.0205
O 2.4477 0.0000 1.3190
O 2.4477 6.8504 0.0074
O 0.0000 2.3729 2.4224
O 0.0000 13.8371 0.0205
O -1.1179 9.2233 1.7768
O 1.1179 9.2233 1.7768
O 0.0000 6.6829 2.4561